{"formula": "SbAuS2", "functional": "PBE", "state": "relaxed", "e_form_raw_ev_per_atom": -0.11, "sg": "No. 166", "lattice_angstrom": [[2.075, 1.198, 7.412], [-2.075, 1.198, 7.412], [0.000, -2.396, 7.412]], "species": ["Sb", "Au", "S", "S"], "frac_coords": [[0.000, 0.000, 0.000], [0.500, 0.500, 0.500], [0.397, 0.397, 0.397], [0.603, 0.603, 0.603]]}

{"formula": "YMgOs2", "functional": "PBE", "state": "relaxed", "e_form_ev_per_atom": 0.341, "sg": "No. 47", "lattice_angstrom": [[3.270, 0.000, 0.000], [0.000, 4.471, 0.000], [0.000, 0.000, 4.813]], "species": ["Y", "Mg", "Os", "Os"], "frac_coords": [[0.000, 0.000, 0.000], [0.500, 0.000, 0.500], [0.000, 0.500, 0.500], [0.500, 0.500, 0.000]]}

Record-wise size of the total moment values, in μB/f.u.: 0.0; 0.0
Record-wise uncorrected energy values, in eV/cell: -16.107; -29.153